# Hf3ReIr2

Hf3ReIr2 after structural relaxation (PBE, the Alexandria database).

a = 3.3682 Å, b = 4.5601 Å, c = 13.6689 Å
α = 90.00°, β = 90.00°, γ = 90.00°
Closest atoms and distances in Å follow each position.
Element x y z (fractional)
Hf1 0.4998 0.5000 0.0000  4 Re 2.83, 4 Ir 2.85
Hf2 0.5002 0.0000 0.5000  4 Re 2.83, 4 Ir 2.85
Hf3 0.5001 0.5000 0.6651  2 Re 2.82, 6 Ir 2.83-2.84
Hf4 0.4999 0.0000 0.8349  2 Re 2.82, 6 Ir 2.83-2.84
Hf5 0.5001 0.5000 0.3349  2 Re 2.82, 6 Ir 2.83-2.84
Hf6 0.4999 0.0000 0.1651  2 Re 2.82, 6 Ir 2.83-2.84
Ir1 0.9999 0.5000 0.1680  8 Hf 2.83-2.85
Ir2 0.9999 0.5000 0.8320  8 Hf 2.83-2.85
Ir3 0.0001 0.0000 0.3320  8 Hf 2.83-2.85
Ir4 0.0001 0.0000 0.6680  8 Hf 2.83-2.85
Re1 0.9998 0.0000 0.0000  8 Hf 2.82-2.83
Re2 0.0002 0.5000 0.5000  8 Hf 2.82-2.83

The calculated volume is 17.5 Å³/atom. The value obtained for the formation energy from the elements is -0.804 eV per atom. Its space group is No. 65. The total moment comes out at 0.000 μB/atom.

# Hf2ReIr

Hf2ReIr after structural relaxation (PBE, the Alexandria database).

a = 3.2916 Å, b = 3.2916 Å, c = 6.4593 Å
α = 90.00°, β = 90.00°, γ = 90.00°
Closest atoms and distances in Å follow each position.
Element x y z (fractional)
Re1 0.5000 0.5000 0.5000  8 Hf 2.82
Hf1 0.0000 0.0000 0.2533  4 Re 2.82, 4 Ir 2.85
Hf2 0.0000 0.0000 0.7467  4 Re 2.82, 4 Ir 2.85
Ir1 0.5000 0.5000 0.0000  8 Hf 2.85

The calculated volume is 17.5 Å³/atom. The value obtained for the formation energy from the elements is -0.736 eV per atom. Its space group is No. 123. The total moment comes out at 0.000 μB/atom.

# HfReIr3

HfReIr3 after structural relaxation (PBE, the Alexandria database).

a = 4.7098 Å, b = 4.7098 Å, c = 4.7098 Å
α = 90.00°, β = 90.00°, γ = 90.00°
Closest atoms and distances in Å follow each position.
Element x y z (fractional)
Ir1 0.0000 0.5000 0.0000  2 Re 2.35
Ir2 0.5000 0.0000 0.0000  2 Re 2.35
Ir3 0.0000 0.0000 0.5000  2 Re 2.35
Re1 0.0000 0.0000 0.0000  6 Ir 2.35
Hf1 0.5000 0.5000 0.5000  12 Ir 3.33

The calculated volume is 20.9 Å³/atom. The value obtained for the formation energy from the elements is 1.176 eV per atom. Its space group is No. 221. The total moment comes out at 0.000 μB/atom.

# Hf2ReIrS

Hf2ReIrS after structural relaxation (PBE, the Alexandria database).

a = 5.1040 Å, b = 4.2401 Å, c = 5.1040 Å
α = 90.00°, β = 90.00°, γ = 90.00°
Closest atoms and distances in Å follow each position.
Element x y z (fractional)
Hf1 0.0000 0.0000 0.5000  2 Re 2.55
Hf2 0.5000 0.0000 0.0000  2 Re 2.55
S1 0.0000 0.5000 0.0000  2 Re 2.12
Re1 0.0000 0.0000 0.0000  2 S 2.12
Ir1 0.5000 0.5000 0.5000  8 Hf 3.32, 4 S 3.61

The calculated volume is 22.1 Å³/atom. Its space group is No. 123. The total moment comes out at 0.000 μB/atom. As for the formation energy without anion corrections: 0.693 eV/atom.

# HfReSbIr2

HfReSbIr2 after structural relaxation (PBE, the Alexandria database).

a = 4.7451 Å, b = 5.1249 Å, c = 4.7451 Å
α = 90.00°, β = 90.00°, γ = 90.00°
Closest atoms and distances in Å follow each position.
Element x y z (fractional)
Sb1 0.0000 0.0000 0.0000  4 Ir 2.37, 2 Hf 2.56
Ir1 0.5000 0.0000 0.0000  2 Sb 2.37
Ir2 0.0000 0.0000 0.5000  2 Sb 2.37
Hf1 0.0000 0.5000 0.0000  2 Sb 2.56
Re1 0.5000 0.5000 0.5000  4 Hf 3.36, 8 Ir 3.49

The calculated volume is 23.1 Å³/atom. Its space group is No. 123. The total moment comes out at 0.434 μB/atom. As for the formation energy without anion corrections: 1.976 eV/atom.

# HfTaReIr

HfTaReIr after structural relaxation (PBE, the Alexandria database).

a = 4.5725 Å, b = 4.5725 Å, c = 4.5725 Å
α = 60.00°, β = 60.00°, γ = 60.00°
Closest atoms and distances in Å follow each position.
Element x y z (fractional)
Re1 0.7500 0.7500 0.7500  4 Hf 2.80, 4 Ta 2.80
Ir1 0.2500 0.2500 0.2500  4 Ta 2.80, 4 Hf 2.80
Hf1 0.5000 0.5000 0.5000  4 Ir 2.80, 4 Re 2.80
Ta1 0.0000 0.0000 0.0000  4 Re 2.80, 4 Ir 2.80

The calculated volume is 16.9 Å³/atom. The value obtained for the formation energy from the elements is -0.539 eV per atom. Its space group is No. 216. The total moment comes out at 0.000 μB/atom.